Entry 1:
## HgIr (PBE)

Data for crystalline HgIr at its relaxed geometry.

Size of the total moment, μB/f.u.: 0.00
Energy, eV per atom: -4.0453
Formation energy from the elements, eV per atom: 0.54

Cell lengths 2.9485, 2.9485, 9.2525 Å; angles 90.00, 90.00, 120.00 degrees
Space group P6_3/mmc (No. 194)
Inequivalent atoms, fractional coordinates:
Hg  0.0000  0.0000  0.0000 (multiplicity 2)
Ir  0.3333  0.6667  0.2500 (multiplicity 2)



Entry 2:
## HgIr2 (PBE)

Data for crystalline HgIr2 at its relaxed geometry.

Size of the total moment, μB/f.u.: 0.00
Energy, eV per atom: -5.5680
Formation energy from the elements, eV per atom: 0.44

Cell lengths 10.1772, 2.8051, 7.2994 Å; angles 90.00, 92.50, 90.00 degrees
Space group Cm (No. 8)
Inequivalent atoms, fractional coordinates:
Hg  0.0000  0.0000  0.0000 (multiplicity 2)
Hg  0.2466  0.0000  0.7250 (multiplicity 2)
Ir  0.1090  0.5000  0.3737 (multiplicity 2)
Ir  0.2388  0.5000  0.0713 (multiplicity 2)
Ir  0.3425  0.0000  0.3469 (multiplicity 2)
Ir  0.4781  0.5000  0.6104 (multiplicity 2)